Record 1
The following is a DFT calculation (PBE) of a relaxed SrTiNb2W crystal.

Calculated values
The calculation puts the calculated volume at 23.17 Å³ per atom. As for the formation energy: 6.39 eV per formula unit. The total energy comes out at -36.3 eV/f.u. Its size of the total moment is 0.0001 μB per atom.

The structure in POSCAR format:
```
SrTiNb2W
1.0
4.918 0.000 0.000
0.000 4.790 0.000
0.000 0.000 4.918
W Nb Ti Sr
1 2 1 1
Direct
0.000 0.500 0.000
0.500 0.000 0.000
0.000 0.000 0.500
0.000 0.000 0.000
0.500 0.500 0.500
```

---

Record 2
The following is a DFT calculation (PBE) of a relaxed SrNb2Tl crystal.

Calculated values
The calculation puts the calculated volume at 26.17 Å³ per atom. As for the formation energy: 4.38 eV per formula unit. The total energy comes out at -19.8 eV/f.u. Its size of the total moment is 0.0005 μB per atom.

The structure in POSCAR format:
```
SrNb2Tl
1.0
8.503 0.000 0.000
0.000 8.503 0.000
4.251 4.251 2.896
Nb Tl Sr
4 2 2
Direct
0.875 0.913 0.750
0.375 0.337 0.750
0.087 0.625 0.250
0.663 0.125 0.250
0.000 0.000 0.000
0.750 0.250 0.500
0.250 0.750 0.500
0.500 0.500 0.000
```

---

Record 3
The following is a DFT calculation (PBE) of a relaxed Sr3NbTl crystal.

Calculated values
The calculation puts the calculated volume at 41.19 Å³ per atom. As for the formation energy: 3.84 eV per formula unit. The total energy comes out at -13.6 eV/f.u. Its size of the total moment is 0.0000 μB per atom.

The structure in POSCAR format:
```
Sr3NbTl
1.0
-3.822 3.002 -3.354
3.170 -1.329 -4.802
-3.196 -4.909 -0.751
Sr Nb Tl
3 1 1
Direct
0.000 0.000 0.500
0.500 0.000 0.000
0.000 0.500 0.000
0.000 0.000 0.000
0.500 0.500 0.500
```

---

Record 4
The following is a DFT calculation (PBE) of a relaxed Sr3NbTl crystal.

Calculated values
The calculation puts the calculated volume at 48.38 Å³ per atom. As for the formation energy: 4.15 eV per formula unit. The total energy comes out at -13.3 eV/f.u. Its size of the total moment is 0.8011 μB per atom.

The structure in POSCAR format:
```
Sr3NbTl
1.0
-0.772 6.159 0.544
-3.334 0.047 -5.264
-5.207 -0.943 3.289
Tl Sr Nb
1 3 1
Direct
0.000 0.000 0.000
0.500 0.000 0.000
0.000 0.000 0.500
0.000 0.500 0.000
0.500 0.500 0.500
```

---

Record 5
The following is a DFT calculation (PBE) of a relaxed SrNb3Tl crystal.

Calculated values
The calculation puts the calculated volume at 24.12 Å³ per atom. As for the formation energy: 11.85 eV per formula unit. The total energy comes out at -22.4 eV/f.u. Its size of the total moment is 0.0000 μB per atom.

The structure in POSCAR format:
```
SrNb3Tl
1.0
4.941 0.000 0.000
0.000 4.941 0.000
0.000 0.000 4.941
Tl Nb Sr
1 3 1
Direct
0.500 0.500 0.500
0.500 0.000 0.000
0.000 0.500 0.000
0.000 0.000 0.500
0.000 0.000 0.000
```

---

Record 6
The following is a DFT calculation (PBE) of a relaxed SrNb3Tl crystal.

Calculated values
The calculation puts the calculated volume at 29.37 Å³ per atom. As for the formation energy: 8.63 eV per formula unit. The total energy comes out at -25.6 eV/f.u. Its size of the total moment is 0.0000 μB per atom.

The structure in POSCAR format:
```
SrNb3Tl
1.0
5.276 0.000 0.000
0.000 5.276 0.000
0.000 0.000 5.276
Sr Nb Tl
1 3 1
Direct
0.500 0.500 0.500
0.500 0.000 0.000
0.000 0.500 0.000
0.000 0.000 0.500
0.000 0.000 0.000
```

---

Record 7
The following is a DFT calculation (PBE) of a relaxed SrNb2Tl crystal.

Calculated values
The calculation puts the calculated volume at 22.50 Å³ per atom. As for the formation energy: 3.89 eV per formula unit. The total energy comes out at -20.3 eV/f.u. Its size of the total moment is 0.0009 μB per atom.

The structure in POSCAR format:
```
SrNb2Tl
1.0
1.570 -4.238 -2.209
-3.313 -3.033 -2.265
-0.037 -0.385 -5.015
Nb Tl Sr
2 1 1
Direct
0.250 0.250 0.250
0.750 0.750 0.750
0.500 0.500 0.500
0.000 0.000 0.000
```

---

Record 8
The following is a DFT calculation (PBE) of a relaxed Sr2NbV crystal.

Calculated values
The calculation puts the calculated volume at 31.91 Å³ per atom. As for the formation energy: 4.97 eV per formula unit. The total energy comes out at -17.6 eV/f.u. Its size of the total moment is 2.0088 μB per atom.

The structure in POSCAR format:
```
Sr2NbV
1.0
-3.186 1.420 4.447
0.003 5.325 1.894
-4.562 3.257 -0.717
Nb Sr V
1 2 1
Direct
0.500 0.500 0.500
0.250 0.250 0.250
0.750 0.750 0.750
0.000 0.000 0.000
```

---

Record 9
The following is a DFT calculation (PBE) of a relaxed Sr2NbV crystal.

Calculated values
The calculation puts the calculated volume at 29.88 Å³ per atom. As for the formation energy: 5.74 eV per formula unit. The total energy comes out at -16.8 eV/f.u. Its size of the total moment is 1.2350 μB per atom.

The structure in POSCAR format:
```
Sr2NbV
1.0
8.775 0.000 0.000
0.000 8.775 0.000
4.387 4.387 3.105
Sr V Nb
4 2 2
Direct
0.375 0.390 0.750
0.875 0.860 0.750
0.610 0.125 0.250
0.140 0.625 0.250
0.250 0.750 0.500
0.500 0.500 0.000
0.000 0.000 0.000
0.750 0.250 0.500
```

---

Record 10
The following is a DFT calculation (PBE) of a relaxed SrNbW2 crystal.

Calculated values
The calculation puts the calculated volume at 19.67 Å³ per atom. As for the formation energy: 4.93 eV per formula unit. The total energy comes out at -32.7 eV/f.u. Its size of the total moment is 0.0000 μB per atom.

The structure in POSCAR format:
```
SrNbW2
1.0
0.000 3.401 3.401
3.401 0.000 3.401
3.401 3.401 0.000
Nb Sr W
1 1 2
Direct
0.500 0.500 0.500
0.000 0.000 0.000
0.250 0.250 0.250
0.750 0.750 0.750
```

---

Record 11
The following is a DFT calculation (PBE) of a relaxed SrNb3W crystal.

Calculated values
The calculation puts the calculated volume at 25.27 Å³ per atom. As for the formation energy: 5.25 eV per formula unit. The total energy comes out at -39.6 eV/f.u. Its size of the total moment is 0.0000 μB per atom.

The structure in POSCAR format:
```
SrNb3W
1.0
-4.059 1.201 2.695
-1.251 -4.851 0.277
2.672 -0.448 4.223
Nb Sr W
3 1 1
Direct
0.000 0.500 0.000
0.000 0.000 0.500
0.500 0.000 0.000
0.500 0.500 0.500
0.000 0.000 0.000
```

---

Record 12
The following is a DFT calculation (PBE) of a relaxed SrNb3W crystal.

Calculated values
The calculation puts the calculated volume at 21.54 Å³ per atom. As for the formation energy: 14.49 eV per formula unit. The total energy comes out at -30.4 eV/f.u. Its size of the total moment is 0.0001 μB per atom.

The structure in POSCAR format:
```
SrNb3W
1.0
-0.753 2.912 -3.687
0.674 -3.628 -3.003
-4.649 -0.998 0.162
Nb W Sr
3 1 1
Direct
0.000 0.000 0.500
0.000 0.500 0.000
0.500 0.000 0.000
0.500 0.500 0.500
0.000 0.000 0.000
```